Computed, not measured: an optimized crystal structure of Pa2Co4Si3Au at the PBE level of DFT.

Theoretical density   10.6 g/cm³
Uncorrected formation energy   -59 kJ/mol of atoms

Cell lengths 3.7846, 3.7846, 10.6579 Å; angles 90.00, 90.00, 90.00 degrees
Element x y z (fractional)
Pa1 0.5000 0.0000 0.2462
Pa2 0.0000 0.5000 0.7538
Co1 0.5000 0.5000 0.0000
Co2 0.0000 0.0000 0.0000
Co3 0.5000 0.0000 0.6716
Co4 0.0000 0.5000 0.3284
Si1 0.0000 0.0000 0.5000
Si2 0.5000 0.0000 0.8838
Si3 0.0000 0.5000 0.1162
Au1 0.5000 0.5000 0.5000